(1)
# MgTa2Be

An optimized crystal structure of MgTa2Be (PBE, the Alexandria database).

DOS at the Fermi energy ... 4.1 states/eV/f.u.
Formation enthalpy at 0 K ... 0.307 eV/atom
Final energy ... -6.950 eV per atom
ΔE to the lowest computed polymorph ... 176 meV per atom

abc: 3.951 3.018 5.810
angles: 74.86 90.00 90.00
Sites, in units of the cell vectors:
Be1 0.000 0.698 0.474
Mg1 0.500 0.569 0.740
Ta1 0.000 0.933 0.010
Ta2 0.500 0.300 0.276

=====

(2)
# Sn2BrCl4

An optimized crystal structure of Sn2BrCl4 (PBE, the Alexandria database).

DOS at the Fermi energy ... 3.5 states/eV/f.u.
Energy relative to the elements, uncorrected ... -0.383 eV per atom
Final energy ... -2.821 eV per atom

abc: 5.815 5.815 8.846
angles: 70.81 70.81 90.00
Each line ends with the local moment (μB).
Sites, in units of the cell vectors:
Sn1 0.601 0.601 0.799  0.00
Sn2 0.399 0.399 0.201  0.00
Br1 0.000 0.000 0.000  -0.20
Cl1 0.753 0.753 0.493  0.00
Cl2 0.247 0.247 0.507  0.00
Cl3 0.000 0.500 0.000  -0.06
Cl4 0.500 0.000 0.000  -0.06

=====

(3)
# Tl2AgP

An optimized crystal structure of Tl2AgP (PBE, the Alexandria database).

DOS at the Fermi energy ... 1.4 states/eV/f.u.
Formation enthalpy at 0 K ... 0.341 eV/atom
Final energy ... -2.907 eV per atom
ΔE to the lowest computed polymorph ... 276 meV per atom

abc: 4.862 4.866 3.924
angles: 90.00 90.00 90.00
Sites, in units of the cell vectors:
Ag1 0.500 0.000 0.500
P1 0.000 0.500 0.500
Tl1 0.000 0.000 0.000
Tl2 0.500 0.500 0.000

=====

(4)
# LaCd2InSe

An optimized crystal structure of LaCd2InSe (PBE, the Alexandria database).

DOS at the Fermi energy ... 4.6 states/eV/f.u.
Energy relative to the elements, uncorrected ... 0.751 eV per atom
Final energy ... -1.845 eV per atom

abc: 6.068 6.068 6.273
angles: 90.00 90.00 90.00
Sites, in units of the cell vectors:
Cd1 0.000 0.500 0.000
Cd2 0.500 0.000 0.000
In1 0.000 0.000 0.500
Se1 0.500 0.500 0.500
La1 0.000 0.000 0.000

=====

(5)
# La3TbHo7

An optimized crystal structure of La3TbHo7 (PBE, the Alexandria database).

DOS at the Fermi energy ... 17.7 states/eV/f.u.
Formation enthalpy at 0 K ... 0.121 eV/atom
Final energy ... -4.557 eV per atom
ΔE to the lowest computed polymorph ... 0 meV per atom

abc: 6.726 6.559 8.640
angles: 81.71 80.18 95.23
Sites, in units of the cell vectors:
La1 0.940 0.804 0.165
La2 0.500 0.000 0.000
La3 0.060 0.196 0.835
Tb1 0.500 0.500 0.500
Ho1 0.775 0.284 0.213
Ho2 0.731 0.988 0.578
Ho3 0.293 0.437 0.147
Ho4 0.707 0.563 0.853
Ho5 0.000 0.500 0.500
Ho6 0.269 0.012 0.422
Ho7 0.225 0.716 0.787

=====

(6)
# LiTa2Cr

An optimized crystal structure of LiTa2Cr (PBE, the Alexandria database).

DOS at the Fermi energy ... 3.8 states/eV/f.u.
Formation enthalpy at 0 K ... 0.478 eV/atom
Final energy ... -8.333 eV per atom
ΔE to the lowest computed polymorph ... 233 meV per atom

abc: 2.629 4.533 5.406
angles: 90.00 90.00 90.00
Sites, in units of the cell vectors:
Cr1 0.000 0.000 0.479
Li1 0.500 0.500 0.753
Ta1 0.000 0.000 0.002
Ta2 0.500 0.500 0.266

=====

(7)
# BeZnCrRh2

An optimized crystal structure of BeZnCrRh2 (PBE, the Alexandria database).

DOS at the Fermi energy ... 3.0 states/eV/f.u.
Formation enthalpy at 0 K ... 0.213 eV/atom
Final energy ... -5.653 eV per atom

abc: 4.125 4.147 4.125
angles: 90.00 90.00 90.00
Each line ends with the local moment (μB).
Sites, in units of the cell vectors:
Cr1 0.000 0.500 0.000  3.13
Zn1 0.500 0.500 0.500  0.00
Rh1 0.000 0.000 0.500  0.09
Rh2 0.500 0.000 0.000  0.03
Be1 0.000 0.000 0.000  0.01

=====

(8)
# ZrSiAsBr2

An optimized crystal structure of ZrSiAsBr2 (PBE, the Alexandria database).

DOS at the Fermi energy ... 3.1 states/eV/f.u.
Energy relative to the elements, uncorrected ... 0.119 eV per atom
Final energy ... -4.274 eV per atom
ΔE to the lowest computed polymorph ... 0 meV per atom

abc: 5.217 5.217 5.421
angles: 90.00 90.00 90.00
Each line ends with the local moment (μB).
Sites, in units of the cell vectors:
As1 0.000 0.000 0.500  -0.06
Si1 0.500 0.500 0.500  0.26
Br1 0.000 0.500 0.000  0.00
Br2 0.500 0.000 0.000  0.00
Zr1 0.000 0.000 0.000  0.10

=====

(9)
# Ta2BeTl

An optimized crystal structure of Ta2BeTl (PBE, the Alexandria database).

DOS at the Fermi energy ... 1.1 states/eV/f.u.
Formation enthalpy at 0 K ... 0.387 eV/atom
Final energy ... -7.063 eV per atom
ΔE to the lowest computed polymorph ... 83 meV per atom

abc: 5.199 5.199 5.199
angles: 139.46 130.52 65.82
Sites, in units of the cell vectors:
Be1 0.250 0.750 0.500
Tl1 0.750 0.250 0.500
Ta1 0.015 0.015 0.000
Ta2 0.485 0.485 0.000

=====

(10)
# NaIr3Ru

An optimized crystal structure of NaIr3Ru (PBE, the Alexandria database).

DOS at the Fermi energy ... 8.6 states/eV/f.u.
Formation enthalpy at 0 K ... 2.490 eV/atom
Final energy ... -4.946 eV per atom
ΔE to the lowest computed polymorph ... 1030 meV per atom

abc: 4.382 4.382 4.382
angles: 90.00 90.00 90.00
Each line ends with the local moment (μB).
Sites, in units of the cell vectors:
Ru1 0.500 0.500 0.500  0.90
Ir1 0.000 0.500 0.000  0.09
Ir2 0.000 0.000 0.500  0.07
Ir3 0.500 0.000 0.000  0.10
Na1 0.000 0.000 0.000  0.00

=====

(11)
# Cs3Na2SmF9

An optimized crystal structure of Cs3Na2SmF9 (PBE, the Alexandria database).

DOS at the Fermi energy ... 22.9 states/eV/f.u.
Energy relative to the elements, uncorrected ... -2.926 eV per atom
Final energy ... -4.710 eV per atom

abc: 6.497 6.497 8.122
angles: 90.00 90.00 120.00
Each line ends with the local moment (μB).
Sites, in units of the cell vectors:
Cs1 0.333 0.667 0.689  0.00
Cs2 0.000 0.000 0.000  0.01
Cs3 0.667 0.333 0.311  0.00
Na1 0.333 0.667 0.179  0.00
Na2 0.667 0.333 0.821  0.00
Sm1 0.000 0.000 0.500  -0.01
F1 0.838 0.162 0.663  0.05
F2 0.838 0.676 0.663  0.05
F3 0.324 0.162 0.663  0.05
F4 0.676 0.838 0.337  0.05
F5 0.162 0.324 0.337  0.05
F6 0.162 0.838 0.337  0.05
F7 0.500 0.000 0.000  0.28
F8 0.000 0.500 0.000  0.28
F9 0.500 0.500 0.000  0.28

=====

(12)
# CuTe2AsPt

An optimized crystal structure of CuTe2AsPt (PBE, the Alexandria database).

DOS at the Fermi energy ... 5.3 states/eV/f.u.
Energy relative to the elements, uncorrected ... 0.656 eV per atom
Final energy ... -3.558 eV per atom

abc: 5.559 4.592 5.559
angles: 90.00 90.00 90.00
Sites, in units of the cell vectors:
As1 0.000 0.500 0.000
Te1 0.000 0.000 0.500
Te2 0.500 0.000 0.000
Cu1 0.500 0.500 0.500
Pt1 0.000 0.000 0.000

=====

(13)
# Ti5NbPd4

An optimized crystal structure of Ti5NbPd4 (PBE, the Alexandria database).

DOS at the Fermi energy ... 12.9 states/eV/f.u.
Formation enthalpy at 0 K ... -0.413 eV/atom
Final energy ... -7.445 eV per atom

abc: 3.299 3.299 14.879
angles: 90.00 90.00 90.00
Sites, in units of the cell vectors:
Ti1 0.500 0.500 0.103
Ti2 0.500 0.500 0.307
Ti3 0.500 0.500 0.500
Ti4 0.500 0.500 0.693
Ti5 0.500 0.500 0.897
Nb1 0.000 0.000 0.000
Pd1 0.000 0.000 0.211
Pd2 0.000 0.000 0.404
Pd3 0.000 0.000 0.596
Pd4 0.000 0.000 0.789

=====

(14)
# KNb2W2

An optimized crystal structure of KNb2W2 (PBE, the Alexandria database).

DOS at the Fermi energy ... 6.1 states/eV/f.u.
Formation enthalpy at 0 K ... 1.184 eV/atom
Final energy ... -8.244 eV per atom
ΔE to the lowest computed polymorph ... 422 meV per atom

abc: 4.423 4.423 6.593
angles: 70.40 70.40 90.00
Sites, in units of the cell vectors:
Nb1 0.750 0.250 0.500
Nb2 0.250 0.750 0.500
K1 0.000 0.000 0.000
W1 0.380 0.380 0.239
W2 0.620 0.620 0.761

=====

(15)
# Tb8Nd2Ho3

An optimized crystal structure of Tb8Nd2Ho3 (PBE, the Alexandria database).

DOS at the Fermi energy ... 22.2 states/eV/f.u.
Formation enthalpy at 0 K ... 0.232 eV/atom
Final energy ... -4.408 eV per atom

abc: 5.566 7.636 11.033
angles: 110.29 90.00 90.00
Sites, in units of the cell vectors:
Tb1 0.000 0.663 0.325
Tb2 0.000 0.337 0.675
Tb3 0.000 0.129 0.257
Tb4 0.000 0.871 0.743
Tb5 0.500 0.605 0.789
Tb6 0.500 0.183 0.789
Tb7 0.500 0.817 0.211
Tb8 0.500 0.395 0.211
Nd1 0.500 0.241 0.481
Nd2 0.500 0.759 0.519
Ho1 0.500 0.000 0.000
Ho2 0.000 0.287 0.000
Ho3 0.000 0.713 0.000

=====

(16)
# PuCd5Rh6

An optimized crystal structure of PuCd5Rh6 (PBE, the Alexandria database).

DOS at the Fermi energy ... 12.8 states/eV/f.u.
Formation enthalpy at 0 K ... -0.215 eV/atom
Final energy ... -5.466 eV per atom

abc: 4.601 6.548 7.254
angles: 90.00 71.51 90.00
Each line ends with the local moment (μB).
Sites, in units of the cell vectors:
Cd1 0.668 0.500 0.663  0.01
Cd2 0.328 0.000 0.345  0.00
Cd3 0.000 0.500 0.000  0.00
Cd4 0.672 0.000 0.655  0.00
Cd5 0.332 0.500 0.337  0.01
Rh1 0.839 0.754 0.322  -0.14
Rh2 0.839 0.246 0.322  -0.14
Rh3 0.500 0.243 0.000  -0.23
Rh4 0.500 0.757 0.000  -0.23
Rh5 0.161 0.754 0.678  -0.14
Rh6 0.161 0.246 0.678  -0.14
Pu1 0.000 0.000 0.000  4.24

=====

(17)
# YBi2Se4

An optimized crystal structure of YBi2Se4 (PBE, the Alexandria database).

DOS at the Fermi energy ... 1.9 states/eV/f.u.
Energy relative to the elements, uncorrected ... -0.784 eV per atom
Final energy ... -4.808 eV per atom

abc: 3.895 7.750 13.765
angles: 90.00 90.00 104.55
Sites, in units of the cell vectors:
Y1 0.612 0.224 0.750
Y2 0.388 0.776 0.250
Bi1 0.133 0.266 0.429
Bi2 0.867 0.734 0.929
Bi3 0.133 0.266 0.071
Bi4 0.867 0.734 0.571
Se1 0.795 0.590 0.124
Se2 0.795 0.590 0.376
Se3 0.205 0.410 0.876
Se4 0.205 0.410 0.624
Se5 0.974 0.948 0.750
Se6 0.026 0.052 0.250
Se7 0.500 0.000 0.000
Se8 0.500 0.000 0.500

=====

(18)
# Nd6HgGe2

An optimized crystal structure of Nd6HgGe2 (PBE, the Alexandria database).

DOS at the Fermi energy ... 8.2 states/eV/f.u.
Formation enthalpy at 0 K ... -0.506 eV/atom
Final energy ... -4.745 eV per atom

abc: 8.861 8.861 8.861
angles: 107.09 110.16 111.20
Sites, in units of the cell vectors:
Nd1 0.449 0.272 0.177
Nd2 0.551 0.728 0.823
Nd3 0.905 0.728 0.177
Nd4 0.095 0.272 0.823
Nd5 0.199 0.748 0.947
Nd6 0.801 0.252 0.053
Nd7 0.801 0.748 0.549
Nd8 0.199 0.252 0.451
Nd9 0.296 0.968 0.672
Nd10 0.704 0.032 0.328
Nd11 0.704 0.376 0.672
Nd12 0.296 0.624 0.328
Hg1 0.000 0.500 0.500
Hg2 0.000 0.000 0.000
Ge1 0.500 0.380 0.880
Ge2 0.500 0.620 0.120
Ge3 0.350 0.000 0.350
Ge4 0.650 0.000 0.650

=====

(19)
# InCo2Os

An optimized crystal structure of InCo2Os (PBE, the Alexandria database).

DOS at the Fermi energy ... 4.8 states/eV/f.u.
Formation enthalpy at 0 K ... 0.365 eV/atom
Final energy ... -6.680 eV per atom

abc: 2.765 3.520 5.807
angles: 90.00 90.00 90.00
Each line ends with the local moment (μB).
Sites, in units of the cell vectors:
Co1 0.000 0.000 0.996  -0.46
Co2 0.500 0.500 0.221  0.94
In1 0.000 0.000 0.481  -0.03
Os1 0.500 0.500 0.803  -0.06

=====

(20)
# Tc2IrRu

An optimized crystal structure of Tc2IrRu (PBE, the Alexandria database).

DOS at the Fermi energy ... 3.5 states/eV/f.u.
Formation enthalpy at 0 K ... -0.077 eV/atom
Final energy ... -9.794 eV per atom
ΔE to the lowest computed polymorph ... 122 meV per atom

abc: 2.722 2.722 7.741
angles: 90.00 90.00 90.00
Sites, in units of the cell vectors:
Ir1 0.500 0.500 0.250
Ru1 0.500 0.500 0.750
Tc1 0.000 0.000 0.997
Tc2 0.000 0.000 0.503

=====

(21)
# TaTiAl2

An optimized crystal structure of TaTiAl2 (PBE, the Alexandria database).

DOS at the Fermi energy ... 2.4 states/eV/f.u.
Formation enthalpy at 0 K ... -0.325 eV/atom
Final energy ... -7.134 eV per atom
ΔE to the lowest computed polymorph ... 0 meV per atom

abc: 4.113 3.991 3.991
angles: 90.00 90.00 90.00
Sites, in units of the cell vectors:
Ti1 0.500 0.000 0.000
Al1 0.000 0.000 0.500
Al2 0.000 0.500 0.000
Ta1 0.500 0.500 0.500

=====

(22)
# BaZnCd2Pd

An optimized crystal structure of BaZnCd2Pd (PBE, the Alexandria database).

DOS at the Fermi energy ... 2.9 states/eV/f.u.
Formation enthalpy at 0 K ... -0.307 eV/atom
Final energy ... -2.351 eV per atom
ΔE to the lowest computed polymorph ... 35 meV per atom

abc: 5.299 5.299 4.944
angles: 90.00 90.00 90.00
Sites, in units of the cell vectors:
Zn1 0.000 0.000 0.500
Ba1 0.500 0.500 0.500
Pd1 0.000 0.000 0.000
Cd1 0.000 0.500 0.000
Cd2 0.500 0.000 0.000

=====

(23)
# PrPuTl

An optimized crystal structure of PrPuTl (PBE, the Alexandria database).

DOS at the Fermi energy ... 7.4 states/eV/f.u.
Formation enthalpy at 0 K ... -0.017 eV/atom
Final energy ... -7.176 eV per atom
ΔE to the lowest computed polymorph ... 8 meV per atom

abc: 5.626 3.523 9.752
angles: 100.41 106.76 90.00
Each line ends with the local moment (μB).
Sites, in units of the cell vectors:
Tl1 0.636 0.136 0.272  -0.02
Tl2 0.364 0.864 0.728  -0.02
Pu1 0.751 0.500 0.000  5.79
Pu2 0.249 0.500 0.000  5.79
Pr1 0.180 0.680 0.361  0.06
Pr2 0.820 0.320 0.639  0.06

=====

(24)
# Pm2AlZn4Si3

An optimized crystal structure of Pm2AlZn4Si3 (PBE, the Alexandria database).

DOS at the Fermi energy ... 3.4 states/eV/f.u.
Energy relative to the elements, uncorrected ... -0.377 eV per atom
Final energy ... -3.838 eV per atom

abc: 4.164 4.164 10.571
angles: 90.00 90.00 90.00
Sites, in units of the cell vectors:
Pm1 0.500 0.000 0.248
Pm2 0.000 0.500 0.752
Al1 0.500 0.500 0.500
Zn1 0.500 0.500 0.000
Zn2 0.000 0.000 0.000
Zn3 0.500 0.000 0.637
Zn4 0.000 0.500 0.363
Si1 0.000 0.000 0.500
Si2 0.500 0.000 0.864
Si3 0.000 0.500 0.136

=====

(25)
# ScTa2V

An optimized crystal structure of ScTa2V (PBE, the Alexandria database).

DOS at the Fermi energy ... 7.6 states/eV/f.u.
Formation enthalpy at 0 K ... 0.284 eV/atom
Final energy ... -9.505 eV per atom
ΔE to the lowest computed polymorph ... 0 meV per atom

abc: 4.645 4.645 4.645
angles: 60.00 60.00 60.00
Sites, in units of the cell vectors:
Sc1 0.000 0.000 0.000
Ta1 0.250 0.250 0.250
Ta2 0.750 0.750 0.750
V1 0.500 0.500 0.500

=====

(26)
# CrIrPt

An optimized crystal structure of CrIrPt (PBE, the Alexandria database).

DOS at the Fermi energy ... 2.3 states/eV/f.u.
Formation enthalpy at 0 K ... -0.208 eV/atom
Final energy ... -8.383 eV per atom
ΔE to the lowest computed polymorph ... 0 meV per atom

abc: 6.044 6.044 2.703
angles: 77.08 77.08 25.84
Sites, in units of the cell vectors:
Cr1 0.995 0.995 0.005
Ir1 0.347 0.347 0.653
Pt1 0.658 0.658 0.342